A geometry-optimized CsLi2V2O7 structure, computed with PBE+U.

Unit cell a=5.9807 b=5.9807 c=25.1438 alpha=90.00 beta=90.00 gamma=120.00
With the nearest neighbours (Å) after each atom.
Space group R32 (No. 155, hexagonal axes)
One atom of each set of equivalent atoms:
Cs: 0.0000 0.0000 0.0000 (multiplicity 3)  12 O 3.32-3.64
Li: 0.0000 0.0000 0.2585 (multiplicity 6)  3 O 1.87
V: 0.0000 0.0000 0.4280 (multiplicity 6)  4 O 1.72-1.81
O: 0.0000 0.0000 0.5000 (multiplicity 3)  2 V 1.81
O: 0.0259 0.4819 0.0704 (multiplicity 18)  1 V 1.72, 1 Li 1.87

Properties
calculated volume: 21.635 Å³/atom
total DFT energy (no corrections): -229.446 eV/cell